Record 1
VASP calculation (PBEsol) on YHgSbI2 after structural relaxation.

Calculated values
- total moment (Bohr magnetons per cell) = 1.22
- space group = No. 123
- energy (eV/atom) = -3.439
- formation energy from raw total energies (eV per formula unit) = -1.7

```
data_YHgSbI2
_cell_length_a 5.848
_cell_length_b 5.848
_cell_length_c 6.005
_cell_angle_alpha 90.00
_cell_angle_beta 90.00
_cell_angle_gamma 90.00
_space_group_name_H-M_alt 'P 1'
_space_group_IT_number 1
loop_
_space_group_symop_operation_xyz
'x,y,z'
loop_
_atom_site_label
_atom_site_fract_x
_atom_site_fract_y
_atom_site_fract_z
_atom_site_occupancy
Y1 0.000 0.000 0.000 1
I1 0.000 0.500 0.000 1
Hg1 0.500 0.500 0.500 1
Sb1 0.000 0.000 0.500 1
I2 0.500 0.000 0.000 1
```

Record 2
VASP calculation (PBEsol) on ZrHgSb2I after structural relaxation.

Calculated values
- total moment (Bohr magnetons per cell) = 0.00
- space group = No. 123
- energy (eV/atom) = -4.010
- formation energy from raw total energies (eV per formula unit) = 0.5

```
data_ZrHgSb2I
_cell_length_a 5.527
_cell_length_b 5.527
_cell_length_c 5.614
_cell_angle_alpha 90.00
_cell_angle_beta 90.00
_cell_angle_gamma 90.00
_space_group_name_H-M_alt 'P 1'
_space_group_IT_number 1
loop_
_space_group_symop_operation_xyz
'x,y,z'
loop_
_atom_site_label
_atom_site_fract_x
_atom_site_fract_y
_atom_site_fract_z
_atom_site_occupancy
Zr1 0.000 0.000 0.000 1
Hg1 0.500 0.500 0.500 1
Sb1 0.000 0.500 0.000 1
Sb2 0.500 0.000 0.000 1
I1 0.000 0.000 0.500 1
```

Record 3
VASP calculation (PBEsol) on Hg3Se2I2 after structural relaxation.

Calculated values
- total moment (Bohr magnetons per cell) = 0.00
- space group = No. 74
- energy (eV/atom) = -2.090
- formation energy from raw total energies (eV per formula unit) = -1.7

```
data_Hg3Se2I2
_cell_length_a 9.599
_cell_length_b 9.536
_cell_length_c 12.010
_cell_angle_alpha 113.39
_cell_angle_beta 113.56
_cell_angle_gamma 90.00
_space_group_name_H-M_alt 'P 1'
_space_group_IT_number 1
loop_
_space_group_symop_operation_xyz
'x,y,z'
loop_
_atom_site_label
_atom_site_fract_x
_atom_site_fract_y
_atom_site_fract_z
_atom_site_occupancy
Hg1 0.934 0.380 0.760 1
Hg2 0.656 0.156 0.812 1
Se1 0.113 0.885 0.246 1
Se2 0.113 0.360 0.246 1
Hg3 0.656 0.656 0.812 1
Hg4 0.262 0.031 0.500 1
I1 0.000 0.750 0.500 1
I2 0.744 0.502 0.004 1
I3 0.256 0.498 0.996 1
Se3 0.367 0.615 0.754 1
I4 0.760 0.002 0.004 1
Hg5 0.066 0.620 0.240 1
Hg6 0.262 0.469 0.500 1
I5 0.000 0.250 0.500 1
Hg7 0.738 0.969 0.500 1
I6 0.503 0.250 0.500 1
Hg8 0.327 0.880 0.760 1
Hg9 0.344 0.844 0.188 1
Hg10 0.673 0.120 0.240 1
Se4 0.633 0.860 0.246 1
Hg11 0.738 0.531 0.500 1
Se5 0.887 0.115 0.754 1
Se6 0.367 0.140 0.754 1
I7 0.497 0.750 0.500 1
Hg12 0.344 0.344 0.188 1
I8 0.240 0.998 0.996 1
Se7 0.887 0.640 0.754 1
Se8 0.633 0.385 0.246 1
```

Record 4
VASP calculation (PBEsol) on Hg3Se2I2 after structural relaxation.

Calculated values
- total moment (Bohr magnetons per cell) = 0.00
- space group = No. 12
- energy (eV/atom) = -2.086
- formation energy from raw total energies (eV per formula unit) = -1.7

```
data_Hg3Se2I2
_cell_length_a 9.422
_cell_length_b 10.619
_cell_length_c 11.118
_cell_angle_alpha 112.46
_cell_angle_beta 90.00
_cell_angle_gamma 116.34
_space_group_name_H-M_alt 'P 1'
_space_group_IT_number 1
loop_
_space_group_symop_operation_xyz
'x,y,z'
loop_
_atom_site_label
_atom_site_fract_x
_atom_site_fract_y
_atom_site_fract_z
_atom_site_occupancy
Hg1 0.139 0.757 0.998 1
I1 0.616 0.231 0.508 1
I2 0.500 0.000 0.000 1
Se1 0.334 0.139 0.751 1
I3 0.249 0.497 0.002 1
I4 0.384 0.769 0.492 1
Se2 0.071 0.612 0.746 1
I5 0.871 0.742 0.503 1
Hg2 0.618 0.757 0.998 1
I6 0.129 0.258 0.497 1
Hg3 0.861 0.243 0.002 1
Hg4 0.914 0.829 0.266 1
Hg5 0.334 0.152 0.307 1
Se3 0.541 0.612 0.746 1
Se4 0.666 0.861 0.249 1
Se5 0.196 0.861 0.249 1
Se6 0.459 0.388 0.254 1
Hg6 0.382 0.243 0.002 1
Hg7 0.182 0.848 0.693 1
Se7 0.804 0.139 0.751 1
Hg8 0.666 0.848 0.693 1
Hg9 0.818 0.152 0.307 1
Hg10 0.086 0.171 0.734 1
Hg11 0.222 0.445 0.278 1
I7 0.000 0.000 0.000 1
Hg12 0.778 0.555 0.722 1
I8 0.751 0.503 0.998 1
Se8 0.929 0.388 0.254 1
```

Question: formation energy from raw total energies of number 1 (YHgSbI2)?
Answer: -1.7 eV per formula unit